[1]
VASP calculation (GGA-PBE) on crystalline PmPr5Y2Er at its relaxed geometry.

Cell: 9.5435 9.5435 9.7630 Å, 119.26 119.26 90.00°
Last column: nearest neighbours and their distance in Å.
Atoms (fractional coordinates):
Y1 0.6081 0.1081 0.0000  1 Y 2.92, 2 Pr 3.18
Y2 0.1081 0.3919 0.0000  1 Y 2.92, 2 Pr 3.18
Y3 0.8919 0.6081 0.0000  1 Y 2.92, 2 Pr 3.18
Y4 0.3919 0.8919 0.0000  1 Y 2.92, 2 Pr 3.18
Pr1 0.3353 0.8353 0.2667  1 Y 3.18, 1 Er 3.18, 1 Pr 3.54
Pr2 0.5686 0.6647 0.7333  1 Y 3.18, 1 Er 3.18, 1 Pr 3.54
Pr3 0.9314 0.4314 0.2667  1 Y 3.18, 1 Er 3.18, 1 Pr 3.54
Pr4 0.0686 0.5686 0.7333  1 Y 3.18, 1 Er 3.18, 1 Pr 3.54
Pr5 0.0000 0.0000 0.0000  2 Pm 3.53, 4 Y 3.88, 8 Pr 3.92
Pr6 0.4314 0.3353 0.2667  1 Y 3.18, 1 Er 3.18, 1 Pr 3.54
Pr7 0.1647 0.0686 0.7333  1 Y 3.18, 1 Er 3.18, 1 Pr 3.54
Pr8 0.6647 0.1647 0.7333  1 Y 3.18, 1 Er 3.18, 1 Pr 3.54
Pr9 0.8353 0.9314 0.2667  1 Y 3.18, 1 Er 3.18, 1 Pr 3.54
Pr10 0.5000 0.5000 0.0000  2 Pm 3.53, 4 Y 3.88, 8 Pr 3.92
Pm1 0.7500 0.7500 0.5000  10 Pr 3.53-3.81
Pm2 0.2500 0.2500 0.5000  10 Pr 3.53-3.81
Er1 0.2500 0.7500 0.5000  4 Pr 3.18
Er2 0.7500 0.2500 0.5000  4 Pr 3.18

Summary:
Space-group type = I4/mcm

[2]
VASP calculation (GGA-PBE) on crystalline AcLaEuY at its relaxed geometry.

Cell: 6.0441 6.0441 6.0441 Å, 60.00 60.00 60.00°
Last column: nearest neighbours and their distance in Å.
Atoms (fractional coordinates):
Y1 0.2500 0.2500 0.2500  4 Ac 3.70, 4 Eu 3.70
La1 0.7500 0.7500 0.7500  4 Eu 3.70, 4 Ac 3.70
Eu1 0.5000 0.5000 0.5000  4 Y 3.70, 4 La 3.70
Ac1 0.0000 0.0000 0.0000  4 La 3.70, 4 Y 3.70

Summary:
Space-group type = F-43m

[3]
VASP calculation (GGA-PBE) on crystalline YTaPb2 at its relaxed geometry.

Cell: 4.7628 4.7628 4.3247 Å, 90.00 90.00 90.00°
Last column: nearest neighbours and their distance in Å.
Atoms (fractional coordinates):
Y1 0.0000 0.5000 0.5000  8 Pb 3.22, 4 Ta 3.37
Ta1 0.5000 0.0000 0.5000  8 Pb 3.22, 4 Y 3.37
Pb1 0.0000 0.0000 0.0000  4 Y 3.22, 4 Ta 3.22, 4 Pb 3.37
Pb2 0.5000 0.5000 0.0000  4 Ta 3.22, 4 Y 3.22, 4 Pb 3.37

Summary:
Space-group type = P4/mmm

[4]
VASP calculation (GGA-PBE) on crystalline YRu2C at its relaxed geometry.

Cell: 6.9127 6.9127 5.5395 Å, 51.40 51.40 90.00°
Last column: nearest neighbours and their distance in Å.
Atoms (fractional coordinates):
C1 0.2500 0.7500 0.5000  4 Ru 2.04
C2 0.5000 0.5000 0.0000  4 Ru 2.04
Ru1 0.2510 0.6250 0.2500  2 C 2.04
Ru2 0.4990 0.1250 0.2500  2 C 2.04
Ru3 0.3750 0.5010 0.7500  2 C 2.04
Ru4 0.8750 0.7490 0.7500  2 C 2.04
Y1 0.7500 0.2500 0.5000  2 C 2.61, 4 Ru 2.75
Y2 0.0000 0.0000 0.0000  2 C 2.61, 4 Ru 2.75

Summary:
Space-group type = I-42d

Number 1: energy -86.82 eV per cell, density of states at the Fermi level 1.565 states/eV/atom. Number 2: energy -25.19 eV per cell, density of states at the Fermi level 1.858 states/eV/atom. Number 3: energy -24.79 eV per cell, density of states at the Fermi level 0.494 states/eV/atom. Number 4: energy -68.75 eV per cell, density of states at the Fermi level 1.350 states/eV/atom.